# 1
## PrEuNiHg (PBE)

Data for a relaxed PrEuNiHg crystal.

Total magnetization in μB/cell: 7.01
Formation energy in eV/atom: -0.242

a = 5.252 Å, b = 5.252 Å, c = 5.252 Å
α = 60.00°, β = 60.00°, γ = 60.00°
Site moments in Bohr magnetons follow the coordinates.
Sites, in units of the cell vectors:
Pr 0.500 0.500 0.500  0.02
Ni 0.250 0.250 0.250  -0.09
Hg 0.750 0.750 0.750  0.01
Eu 0.000 0.000 0.000  6.81

***

# 2
## SrEuNiHg (PBE)

Data for a relaxed SrEuNiHg crystal.

Total magnetization in μB/cell: 7.17
Formation energy in eV/atom: -0.156

a = 5.353 Å, b = 5.353 Å, c = 5.353 Å
α = 60.00°, β = 60.00°, γ = 60.00°
Site moments in Bohr magnetons follow the coordinates.
Sites, in units of the cell vectors:
Sr 0.000 0.000 0.000  -0.02
Ni 0.250 0.250 0.250  0.09
Hg 0.750 0.750 0.750  -0.02
Eu 0.500 0.500 0.500  -6.86

***

# 3
## EuYNiHg (PBE)

Data for a relaxed EuYNiHg crystal.

Total magnetization in μB/cell: 7.01
Formation energy in eV/atom: -0.257

a = 5.148 Å, b = 5.148 Å, c = 5.148 Å
α = 60.00°, β = 60.00°, γ = 60.00°
Site moments in Bohr magnetons follow the coordinates.
Sites, in units of the cell vectors:
Y 0.750 0.750 0.750  0.02
Eu 0.250 0.250 0.250  6.78
Ni 0.000 0.000 0.000  -0.04
Hg 0.500 0.500 0.500  0.01